Record 1
# Ta5Mo3

Crystalline Ta5Mo3 at its relaxed geometry (PBE-GGA, the Alexandria database).

Results
For the total energy, the calculation gives -92.61 eV/f.u. The calculation puts the energy of formation at -0.107 eV per atom. The magnetization comes out at 0.0 Bohr magnetons per cell. The calculation puts the energy above the most stable polymorph in this dataset at 0.53 eV per formula unit.

abc: 4.517 4.672 13.063
angles: 90.00 90.00 90.00
Space group Immm (No. 71)
Asymmetric unit:
Ta1 0.000 0.000 0.000 (multiplicity 2)
Ta2 0.000 0.000 0.248 (multiplicity 4)
Ta3 0.000 0.500 0.120 (multiplicity 4)
Mo1 0.000 0.000 0.500 (multiplicity 2)
Mo2 0.000 0.500 0.374 (multiplicity 4)


Record 2
# Ca2UO5

Crystalline Ca2UO5 at its relaxed geometry (PBE-GGA, the Alexandria database).

Results
For the total energy, the calculation gives -65.64 eV/f.u. The magnetization comes out at 0.0 Bohr magnetons per cell. Its uncorrected formation energy is -2465.5 kJ/mol of formula units.

abc: 11.947 5.697 7.999
angles: 90.00 113.51 90.00
Space group C2/c (No. 15)
Asymmetric unit:
Ca1 0.137 0.001 0.251 (multiplicity 8)
U1 0.000 0.500 0.000 (multiplicity 4)
O1 0.000 0.315 0.750 (multiplicity 4)
O2 0.072 0.191 0.459 (multiplicity 8)
O3 0.168 0.361 0.143 (multiplicity 8)


Record 3
# ScGa2Pd2Au

Crystalline ScGa2Pd2Au at its relaxed geometry (PBE-GGA, the Alexandria database).

Results
For the total energy, the calculation gives -29.81 eV/f.u. The calculation puts the energy of formation at -0.628 eV per atom. The magnetization comes out at 0.0 Bohr magnetons per cell.

abc: 4.5128 4.5128 5.6228
angles: 90.00 90.00 120.00
Space group P-3m1 (No. 164)
Asymmetric unit:
Sc1 0.0000 0.0000 0.0000 (multiplicity 1)
Ga1 0.3333 0.6667 0.6892 (multiplicity 2)
Pd1 0.3333 0.6667 0.1759 (multiplicity 2)
Au1 0.0000 0.0000 0.5000 (multiplicity 1)


Record 4
# Zr2TiBeRh

Crystalline Zr2TiBeRh at its relaxed geometry (PBE-GGA, the Alexandria database).

Results
For the total energy, the calculation gives -34.21 eV/f.u. The calculation puts the energy of formation at 0.372 eV per atom. The magnetization comes out at 3.0 Bohr magnetons per cell.

abc: 5.057 5.057 4.166
angles: 90.00 90.00 90.00
Space group P4/mmm (No. 123)
Asymmetric unit:
Zr1 0.000 0.500 0.000 (multiplicity 2)
Ti1 0.000 0.000 0.500 (multiplicity 1)
Be1 0.500 0.500 0.500 (multiplicity 1)
Rh1 0.500 0.500 0.000 (multiplicity 1)


Record 5
# Ag3TePd6

Crystalline Ag3TePd6 at its relaxed geometry (PBE-GGA, the Alexandria database).

Results
For the total energy, the calculation gives -44.15 eV/f.u. The magnetization comes out at 0.0 Bohr magnetons per cell. The calculation puts the energy above the most stable polymorph in this dataset at 0.00 eV per formula unit. Its uncorrected formation energy is -125.1 kJ/mol of formula units.

abc: 8.938 4.123 9.178
angles: 90.00 93.34 90.00
Space group P2_1/m (No. 11)
Asymmetric unit:
Ag1 0.054 0.250 0.400 (multiplicity 2)
Ag2 0.158 0.750 0.202 (multiplicity 2)
Ag3 0.249 0.250 0.008 (multiplicity 2)
Te1 0.418 0.250 0.637 (multiplicity 2)
Pd1 0.046 0.750 0.902 (multiplicity 2)
Pd2 0.137 0.250 0.707 (multiplicity 2)
Pd3 0.255 0.750 0.503 (multiplicity 2)
Pd4 0.338 0.750 0.813 (multiplicity 2)
Pd5 0.367 0.250 0.314 (multiplicity 2)
Pd6 0.454 0.750 0.097 (multiplicity 2)


Record 6
# CaGdPtRh

Crystalline CaGdPtRh at its relaxed geometry (PBE-GGA, the Alexandria database).

Results
For the total energy, the calculation gives -32.71 eV/f.u. The calculation puts the energy of formation at -0.810 eV per atom. The magnetization comes out at 28.0 Bohr magnetons per cell.

abc: 6.942 6.942 6.942
angles: 90.00 90.00 90.00
Space group F-43m (No. 216)
Asymmetric unit:
Ca1 0.000 0.000 0.000 (multiplicity 4)
Gd1 0.000 0.000 0.500 (multiplicity 4)
Pt1 0.250 0.250 0.750 (multiplicity 4)
Rh1 0.250 0.250 0.250 (multiplicity 4)